Computed, not measured: crystalline AcSm3Tl3 at its relaxed geometry at the PBE-GGA level of DFT.

abc: 9.694 9.694 9.694
angles: 90.00 90.00 90.00
Fractional coordinates of all 28 atoms:
Sm: 0.320 0.180 0.820
Sm: 0.681 0.319 0.819
Ac: 0.071 0.571 0.929
Tl: 0.502 0.763 0.389
Sm: 0.820 0.320 0.180
Sm: 0.582 0.082 0.418
Ac: 0.429 0.429 0.429
Tl: 0.263 0.111 0.498
Tl: 0.763 0.389 0.502
Sm: 0.181 0.181 0.181
Ac: 0.929 0.071 0.571
Tl: 0.611 0.002 0.737
Tl: 0.237 0.889 0.998
Sm: 0.819 0.681 0.319
Sm: 0.680 0.680 0.680
Sm: 0.918 0.918 0.918
Sm: 0.319 0.819 0.681
Tl: 0.737 0.611 0.002
Ac: 0.571 0.929 0.071
Tl: 0.002 0.737 0.611
Sm: 0.180 0.820 0.320
Tl: 0.389 0.502 0.763
Tl: 0.498 0.263 0.111
Tl: 0.111 0.498 0.263
Sm: 0.418 0.582 0.082
Tl: 0.889 0.998 0.237
Sm: 0.082 0.418 0.582
Tl: 0.998 0.237 0.889

Density ... 9414 kg/m3
Energy of formation from the pure elements ... -262 meV/atom
Calculated total energy ... -3.886 eV/atom
Energy relative to the lowest polymorph listed for this composition ... 0.032 eV per formula unit
V ... 32.54 Å³/atom

Computed, not measured: crystalline CuNi2Pb at its relaxed geometry at the PBE-GGA level of DFT.

abc: 4.756 4.756 3.826
angles: 66.24 66.24 47.45
Fractional coordinates of all 4 atoms:
Ni: 0.750 0.750 0.750
Cu: 0.250 0.250 0.250
Pb: 0.500 0.500 0.500
Ni: 0.000 0.000 0.000

Density ... 11255 kg/m3
Energy of formation from the pure elements ... 214 meV/atom
Calculated total energy ... -4.628 eV/atom
V ... 14.32 Å³/atom

Computed, not measured: crystalline TmLuAlPd at its relaxed geometry at the PBE-GGA level of DFT.

abc: 4.970 4.970 4.970
angles: 60.00 60.00 60.00
Fractional coordinates of all 4 atoms:
Pd: 0.750 0.750 0.750
Lu: 0.000 0.000 0.000
Tm: 0.500 0.500 0.500
Al: 0.250 0.250 0.250

Density ... 9133 kg/m3
Energy of formation from the pure elements ... -616 meV/atom
Calculated total energy ... -5.098 eV/atom
V ... 21.70 Å³/atom

Computed, not measured: crystalline Li2Sm3Hg4 at its relaxed geometry at the PBE-GGA level of DFT.

abc: 5.227 5.360 9.122
angles: 99.63 90.00 119.18
Fractional coordinates of all 9 atoms:
Hg: 0.691 0.381 0.093
Hg: 0.309 0.619 0.907
Sm: 0.622 0.243 0.729
Sm: 0.378 0.757 0.271
Hg: 0.066 0.132 0.361
Hg: 0.934 0.868 0.639
Li: 0.273 0.545 0.605
Li: 0.727 0.455 0.395
Sm: 0.000 0.000 0.000

Density ... 9610 kg/m3
Energy of formation from the pure elements ... -394 meV/atom
Calculated total energy ... -2.526 eV/atom
Energy relative to the lowest polymorph listed for this composition ... 0.000 eV per formula unit
V ... 24.33 Å³/atom

Computed, not measured: crystalline Sm2B2Os at its relaxed geometry at the PBE-GGA level of DFT.

abc: 5.172 5.413 7.325
angles: 97.46 90.00 118.54
Fractional coordinates of all 10 atoms:
Os: 0.124 0.000 0.750
Sm: 0.575 0.314 0.143
Os: 0.876 0.000 0.250
Sm: 0.740 0.314 0.643
B: 0.166 0.157 0.488
B: 0.834 0.843 0.512
B: 0.991 0.157 0.988
B: 0.009 0.843 0.012
Sm: 0.260 0.686 0.357
Sm: 0.425 0.686 0.857

Density ... 9553 kg/m3
Energy of formation from the pure elements ... -322 meV/atom
Calculated total energy ... -7.126 eV/atom
V ... 17.82 Å³/atom

Computed, not measured: crystalline Na2ZrCl6 at its relaxed geometry at the PBE-GGA level of DFT.

abc: 6.920 6.645 11.477
angles: 90.00 90.03 90.00
Fractional coordinates of all 18 atoms:
Cl: 0.703 0.210 0.501
Cl: 0.650 0.282 0.847
Cl: 0.797 0.710 0.999
Zr: 0.000 0.000 0.500
Cl: 0.350 0.718 0.153
Cl: 0.850 0.782 0.653
Na: 0.500 0.998 0.685
Cl: 0.297 0.790 0.499
Cl: 0.350 0.715 0.845
Na: 0.000 0.498 0.815
Na: 0.500 0.002 0.315
Na: 0.000 0.502 0.185
Cl: 0.650 0.285 0.155
Cl: 0.203 0.290 0.001
Zr: 0.500 0.500 0.000
Cl: 0.150 0.218 0.347
Cl: 0.850 0.785 0.345
Cl: 0.150 0.215 0.655

Density ... 2202 kg/m3
Calculated total energy ... -4.297 eV/atom
Energy relative to the lowest polymorph listed for this composition ... 0.000 eV per formula unit
Formation energy from raw total energies ... -1.82 eV/atom
V ... 29.32 Å³/atom

Computed, not measured: crystalline CsLiSm2I8 at its relaxed geometry at the PBE-GGA level of DFT.

abc: 7.979 7.979 9.636
angles: 90.00 90.00 120.00
Fractional coordinates of all 12 atoms:
I: 0.707 0.066 0.847
Sm: 0.667 0.333 0.093
I: 0.293 0.934 0.153
I: 0.359 0.293 0.847
I: 0.641 0.707 0.153
I: 0.333 0.667 0.593
Li: 0.000 0.000 0.000
I: 0.667 0.333 0.407
Sm: 0.333 0.667 0.907
Cs: 0.000 0.000 0.500
I: 0.066 0.359 0.153
I: 0.934 0.641 0.847

Density ... 4550 kg/m3
Calculated total energy ... -3.404 eV/atom
Formation energy from raw total energies ... -1.35 eV/atom
V ... 44.28 Å³/atom

Computed, not measured: crystalline ReAg2Pb at its relaxed geometry at the PBE-GGA level of DFT.

abc: 4.912 4.912 4.912
angles: 125.85 125.85 80.14
Last column: magnetic moment on the atom in μB.
Fractional coordinates of all 4 atoms:
Pb: 0.500 0.500 0.000  -0.01
Ag: 0.000 0.000 0.000  0.00
Re: 0.250 0.750 0.500  0.22
Ag: 0.750 0.250 0.500  0.00

Density ... 13461 kg/m3
Energy of formation from the pure elements ... 872 meV/atom
Calculated total energy ... -4.593 eV/atom
V ... 18.79 Å³/atom

Computed, not measured: crystalline AlIrPb4 at its relaxed geometry at the PBE-GGA level of DFT.

abc: 6.228 6.228 6.228
angles: 60.00 60.00 60.00
Fractional coordinates of all 6 atoms:
Ir: 0.000 0.000 0.000
Pb: 0.374 0.374 0.877
Al: 0.750 0.750 0.750
Pb: 0.374 0.877 0.374
Pb: 0.374 0.374 0.374
Pb: 0.877 0.374 0.374

Density ... 10187 kg/m3
Energy of formation from the pure elements ... 903 meV/atom
Calculated total energy ... -3.670 eV/atom
V ... 28.47 Å³/atom

Computed, not measured: crystalline Np5U2P3 at its relaxed geometry at the PBE-GGA level of DFT.

abc: 11.313 11.313 11.313
angles: 144.70 151.80 45.77
Last column: magnetic moment on the atom in μB.
Fractional coordinates of all 20 atoms:
Np: 0.396 0.573 0.823  -1.40
Np: 0.500 0.750 0.250  0.21
P: 0.000 0.750 0.750  0.01
P: 0.310 0.801 0.509  -0.05
P: 0.690 0.199 0.491  -0.05
Np: 0.804 0.054 0.250  2.74
P: 0.000 0.250 0.250  0.01
P: 0.708 0.699 0.009  -0.05
Np: 0.604 0.427 0.177  -1.40
Np: 0.500 0.250 0.750  0.21
P: 0.292 0.301 0.991  -0.05
Np: 0.196 0.446 0.250  2.74
Np: 0.251 0.927 0.323  -1.40
Np: 0.196 0.946 0.750  2.74
U: 0.228 0.110 0.118  0.28
Np: 0.804 0.554 0.750  2.74
U: 0.772 0.890 0.882  0.28
U: 0.008 0.390 0.618  0.28
U: 0.992 0.610 0.382  0.28
Np: 0.749 0.073 0.677  -1.40

Density ... 14781 kg/m3
Energy of formation from the pure elements ... -244 meV/atom
Calculated total energy ... -10.595 eV/atom
V ... 19.70 Å³/atom

Computed, not measured: crystalline SmY12Ho3 at its relaxed geometry at the PBE-GGA level of DFT.

abc: 5.044 5.044 20.174
angles: 90.00 90.00 90.00
Fractional coordinates of all 16 atoms:
Ho: 0.000 0.000 0.500
Y: 0.500 0.500 0.749
Y: 0.500 0.000 0.625
Y: 0.500 0.000 0.126
Y: 0.500 0.000 0.375
Y: 0.500 0.500 0.000
Y: 0.500 0.000 0.874
Ho: 0.000 0.000 0.749
Y: 0.000 0.500 0.874
Y: 0.500 0.500 0.500
Y: 0.000 0.500 0.375
Y: 0.000 0.500 0.625
Sm: 0.000 0.000 0.000
Ho: 0.000 0.000 0.251
Y: 0.500 0.500 0.251
Y: 0.000 0.500 0.126

Density ... 5540 kg/m3
Energy of formation from the pure elements ... 24 meV/atom
Calculated total energy ... -5.978 eV/atom
V ... 32.07 Å³/atom

Number 4 is which compound?
Li2Sm3Hg4